Entry 1:
8
Lattice="7.190 0.172 0.263 -2.908 6.578 -0.263 -2.908 -2.888 5.916" Properties=species:S:1:pos:R:3 comment="Cs2TaHgS4 | Alexandria via LeMat-Bulk | PBE-GGA | optimized geometry" sg=I-4 raw_formation_energy_ev_per_atom=-0.929 pbc="T T T"
S -2.304 3.321 4.478
S 2.026 1.588 3.042
S -1.830 -0.141 3.238
S 4.855 2.955 1.073
Cs 0.687 4.297 1.413
Cs 0.000 0.000 0.000
Ta -2.908 1.845 2.826
Hg 0.687 -0.436 4.503

=====

Entry 2:
5
Lattice="-4.026 -3.233 0.045 2.895 -3.572 2.350 -1.440 1.857 4.598" Properties=species:S:1:pos:R:3 comment="BaZrCu3 | Alexandria via LeMat-Bulk | PBE-GGA | optimized geometry" sg=Pm-3m delta_e_f_ev_per_atom=1.527 polymorph_energy_mev_per_atom=1027.4 pbc="T T T"
Cu 1.447 -1.786 1.175
Cu -2.013 -1.617 0.022
Cu -0.720 0.929 2.299
Ba 0.000 0.000 0.000
Zr -1.286 -2.474 3.496

=====

Entry 3:
6
Lattice="4.495 0.000 0.000 2.248 3.893 0.000 2.248 1.298 3.670" Properties=species:S:1:pos:R:3 comment="Be4SnRu | Alexandria via LeMat-Bulk | PBE-GGA | optimized geometry" sg=F-43m delta_e_f_ev_per_atom=-0.155 pbc="T T T"
Be 5.632 3.252 2.299
Be 3.358 3.252 2.299
Be 4.495 1.283 2.299
Be 4.495 2.595 0.443
Sn 2.248 1.298 0.918
Ru 0.000 0.000 0.000

=====

Entry 4:
8
Lattice="3.143 0.000 0.000 0.000 4.441 0.000 0.000 0.000 8.779" Properties=species:S:1:pos:R:3 comment="TaV3W4 | Alexandria via LeMat-Bulk | PBE-GGA | optimized geometry" sg=Pmmm delta_e_f_ev_per_atom=-0.058 pbc="T T T"
W 0.000 0.000 4.390
W 0.000 2.220 6.497
W 0.000 2.220 2.283
W 0.000 0.000 0.000
Ta 1.571 2.220 0.000
V 1.571 0.000 2.239
V 1.571 0.000 6.541
V 1.571 2.220 4.390

=====

Entry 5:
5
Lattice="5.424 0.000 0.000 0.000 5.424 0.000 0.000 0.000 5.424" Properties=species:S:1:pos:R:3 comment="InBr3Cl | Alexandria via LeMat-Bulk | PBE-GGA | optimized geometry" sg=Pm-3m polymorph_energy_mev_per_atom=168.8 raw_formation_energy_ev_per_atom=-0.024 pbc="T T T"
Br 2.712 0.000 0.000
Br 0.000 0.000 2.712
Br 0.000 2.712 0.000
In 2.712 2.712 2.712
Cl 0.000 0.000 0.000

=====

Entry 6:
4
Lattice="-0.972 1.779 3.853 -0.292 -6.578 2.963 3.199 -4.006 2.657" Properties=species:S:1:pos:R:3 comment="BaMgP2 | Alexandria via LeMat-Bulk | PBE-GGA | optimized geometry" sg=P2/m delta_e_f_ev_per_atom=-0.136 pbc="T T T"
P 0.000 0.000 0.000
P -0.632 -2.399 3.408
Mg 1.600 -2.003 1.328
Ba 0.968 -4.403 4.736

=====

Entry 7:
5
Lattice="3.615 0.000 0.000 0.000 3.615 0.000 1.807 1.807 9.545" Properties=species:S:1:pos:R:3 comment="Tl2Zn2As | Alexandria via LeMat-Bulk | PBE-GGA | optimized geometry" sg=I4/mmm delta_e_f_ev_per_atom=0.186 polymorph_energy_mev_per_atom=123.3 pbc="T T T"
As 0.000 0.000 0.000
Tl 3.615 3.615 7.668
Tl 1.807 1.807 1.877
Zn 3.615 1.807 4.772
Zn 1.807 3.615 4.772

=====

Entry 8:
9
Lattice="-4.990 0.881 -0.576 -1.033 -4.629 1.874 -0.293 2.871 6.932" Properties=species:S:1:pos:R:3 comment="AcZnGa2Au5 | Alexandria via LeMat-Bulk | PBE-GGA | optimized geometry" sg=P4/mmm delta_e_f_ev_per_atom=-0.312 pbc="T T T"
Ac -0.147 1.436 3.466
Au -0.578 -1.712 2.391
Au -0.748 -0.046 6.414
Au -3.158 -0.439 4.115
Au -2.727 2.709 5.189
Au -2.557 1.043 1.166
Ga -3.060 -1.405 1.781
Ga -3.257 0.528 6.449
Zn 0.000 0.000 0.000